1.
Compound: TlRhSe2
Source: the Alexandria database
Functional: PBE
Structure: optimized geometry

```
data_TlRhSe2
_chemical_formula_sum 'Tl1 Rh1 Se2'
_symmetry_space_group_name_H-M 'P 4/m m m'
_symmetry_Int_Tables_number 123
_symmetry_space_group_name_Hall '-P 4 2'
_cell_length_a 3.196
_cell_length_b 3.196
_cell_length_c 8.391
_cell_angle_alpha 90.00
_cell_angle_beta 90.00
_cell_angle_gamma 90.00
loop_
_atom_site_label
_atom_site_type_symbol
_atom_site_fract_x
_atom_site_fract_y
_atom_site_fract_z
_atom_site_occupancy
Tl1 Tl 0.000 0.000 0.000 1
Rh1 Rh 0.000 0.000 0.500 1
Se1 Se 0.500 0.500 0.322 1
```

Properties
Magnetization ... 0.00 μB per cell
Raw formation energy ... -0.045 eV/atom

---

2.
Compound: TlRhSe2
Source: the Alexandria database
Functional: PBE
Structure: optimized geometry

```
data_TlRhSe2
_chemical_formula_sum 'Tl2 Rh2 Se4'
_symmetry_space_group_name_H-M 'C 1 m 1'
_symmetry_Int_Tables_number 8
_cell_length_a 11.439
_cell_length_b 3.678
_cell_length_c 4.999
_cell_angle_alpha 90.00
_cell_angle_beta 111.83
_cell_angle_gamma 90.00
loop_
_symmetry_equiv_pos_as_xyz
'x,y,z'
'x,-y,z'
'x+1/2,y+1/2,z'
'x+1/2,-y+1/2,z'
loop_
_atom_site_label
_atom_site_type_symbol
_atom_site_fract_x
_atom_site_fract_y
_atom_site_fract_z
_atom_site_occupancy
Tl1 Tl 0.000 0.000 0.000 1
Rh1 Rh 0.255 0.500 0.029 1
Se1 Se 0.185 0.000 0.673 1
Se2 Se 0.327 0.000 0.384 1
```

Properties
Magnetization ... 0.00 μB per cell
Raw formation energy ... -0.270 eV/atom